Record 1
## PuPa2WC4 (GGA-PBE)

Data for a geometry-optimized PuPa2WC4 structure.

Cell: 6.2359 6.2359 12.4079 Å, 90.00 90.00 147.31°
Element x y z (fractional)
1 Pu 0.1068 0.8932 0.7500
2 Pu 0.8932 0.1068 0.2500
3 Pa 0.3685 0.6315 0.5406
4 Pa 0.3685 0.6315 0.9594
5 Pa 0.6315 0.3685 0.0406
6 Pa 0.6315 0.3685 0.4594
7 W 0.1575 0.8425 0.2500
8 W 0.8425 0.1575 0.7500
9 C 0.0000 0.0000 0.0000
10 C 0.0000 0.0000 0.5000
11 C 0.2636 0.7364 0.1266
12 C 0.2636 0.7364 0.3734
13 C 0.4345 0.5655 0.7500
14 C 0.5655 0.4345 0.2500
15 C 0.7364 0.2636 0.6266
16 C 0.7364 0.2636 0.8734

Properties
- ρ: 12.0 g/cm3
- Formation enthalpy at 0 K: -4 kJ per mole of atoms
- D(E_F): 19.80 states/eV per cell

=====

Record 2
## AcTm3 (GGA-PBE)

Data for a geometry-optimized AcTm3 structure.

Cell: 5.1167 5.1167 5.1167 Å, 90.00 90.00 90.00°
Element x y z (fractional)
1 Ac 0.0000 0.0000 0.0000
2 Tm 0.0000 0.5000 0.5000
3 Tm 0.5000 0.0000 0.5000
4 Tm 0.5000 0.5000 0.0000

Properties
- ρ: 9.1 g/cm3
- Formation enthalpy at 0 K: 8 kJ per mole of atoms
- D(E_F): 7.09 states/eV per cell

=====

Record 3
## SbWSe2 (GGA-PBE)

Data for a geometry-optimized SbWSe2 structure.

Cell: 4.4125 4.4125 7.9285 Å, 90.00 90.00 90.00°
Element x y z (fractional)
1 Sb 0.0000 0.0000 0.0000
2 Sb 0.5000 0.5000 0.5000
3 W 0.0000 0.5000 0.2500
4 W 0.5000 0.0000 0.7500
5 Se 0.0000 0.0000 0.5000
6 Se 0.0000 0.5000 0.7500
7 Se 0.5000 0.0000 0.2500
8 Se 0.5000 0.5000 0.0000

Properties
- ρ: 10.0 g/cm3
- Energy: -5.268 eV/atom
- D(E_F): 6.71 states/eV per cell